Version A
DFT (PBE-GGA) results for GdSiNO after structural relaxation.

a = 6.4946 Å, b = 6.6483 Å, c = 5.1492 Å
α = 90.00°, β = 90.00°, γ = 90.00°
Space group Pca2_1 (No. 29)
Symmetry-distinct sites (fractional):
Gd  0.0558  0.1767  0.0000
Si  0.0931  0.6621  0.9984
N  0.0871  0.1433  0.5296
O  0.0176  0.4888  0.2420

Version B
DFT (PBE-GGA) results for GdSiNO after structural relaxation.

a = 4.5911 Å, b = 4.5911 Å, c = 4.9453 Å
α = 90.00°, β = 90.00°, γ = 90.00°
Space group P4/nmm (No. 129, origin choice 2)
Symmetry-distinct sites (fractional):
Gd  0.2500  0.7500  0.0000
Si  0.2500  0.2500  0.5000
N  0.2500  0.2500  0.1517
O  0.2500  0.7500  0.5000

Version C
DFT (PBE-GGA) results for GdSiNO after structural relaxation.

a = 5.2887 Å, b = 8.2826 Å, c = 4.8990 Å
α = 90.00°, β = 90.00°, γ = 90.00°
Space group Pca2_1 (No. 29)
Symmetry-distinct sites (fractional):
Gd  0.0079  0.1355  0.0000
Si  0.0828  0.5877  0.9462
N  0.1159  0.5581  0.5908
O  0.0235  0.2328  0.5026

Which of them is the most stable, and which is the least stable? version A and version B, in that order.

Version A
DFT (PBE-GGA) results for GdTaNO after structural relaxation.

a = 4.0694 Å, b = 5.3565 Å, c = 5.1205 Å
α = 90.00°, β = 90.00°, γ = 90.00°
Space group Pmc2_1 (No. 26)
Symmetry-distinct sites (fractional):
Gd  0.0000  0.2325  0.0000
Ta  0.5000  0.2990  0.5029
N  0.0000  0.3070  0.5020
O  0.5000  0.0095  0.7666

Version B
DFT (PBE-GGA) results for GdTaNO after structural relaxation.

a = 6.5470 Å, b = 7.6886 Å, c = 4.5743 Å
α = 90.00°, β = 90.00°, γ = 90.00°
Space group Pca2_1 (No. 29)
Symmetry-distinct sites (fractional):
Gd  0.0451  0.1296  0.0000
Ta  0.1086  0.6317  0.0005
N  0.0805  0.5844  0.5012
O  0.0982  0.1584  0.4998

Which of them is the most stable, and which is the least stable? version A and version B, in that order.

Version A
DFT (PBE-GGA) results for GdTaNO after structural relaxation.

a = 6.2915 Å, b = 7.5746 Å, c = 5.1310 Å
α = 90.00°, β = 90.00°, γ = 90.00°
Space group Pca2_1 (No. 29)
Symmetry-distinct sites (fractional):
Gd  0.0617  0.1398  0.0000
Ta  0.1271  0.6581  0.0025
N  0.0711  0.1479  0.5033
O  0.0660  0.5510  0.6266

Version B
DFT (PBE-GGA) results for GdTaNO after structural relaxation.

a = 3.6389 Å, b = 5.9845 Å, c = 5.8165 Å
α = 90.00°, β = 90.00°, γ = 90.00°
Space group Pmc2_1 (No. 26)
Symmetry-distinct sites (fractional):
Gd  0.0000  0.1655  0.0000
Ta  0.5000  0.3070  0.5224
N  0.5000  0.4041  0.8439
O  0.0000  0.2230  0.3939

Which of them is the most stable, and which is the least stable? version A and version B, in that order.